# Ce2DyZrAs4

A geometry-optimized Ce2DyZrAs4 structure (PBE-GGA, the Alexandria database).

Results
Space group: P2/m, No. 10
Mass density: 7.12 Mg/m³
Spin magnetization: 1.2 μB per formula unit
Formation enthalpy at 0 K: -1.383 eV per atom

Unit cell a=7.094 b=4.093 c=7.096 alpha=90.00 beta=109.38 gamma=90.00
Fractional positions:
Ce  0.000  0.000  0.000
Ce  0.000  0.500  0.500
Dy  0.500  0.000  0.500
Zr  0.500  0.500  0.000
As  0.261  0.500  0.246
As  0.265  0.000  0.762
As  0.735  0.000  0.238
As  0.739  0.500  0.754


# U2Pa3Te8

A geometry-optimized U2Pa3Te8 structure (PBE-GGA, the Alexandria database).

Results
Space group: C2/m, No. 12
Mass density: 7.94 Mg/m³
Energy relative to the elements, uncorrected: -600 meV per atom
Spin magnetization: 10.2 μB per formula unit

Unit cell a=8.860 b=8.860 c=7.157 alpha=102.24 beta=102.24 gamma=57.13
Fractional positions:
U  0.245  0.245  0.326
U  0.755  0.755  0.674
Pa  0.000  0.000  0.500
Pa  0.223  0.777  0.000
Pa  0.777  0.223  0.000
Te  0.141  0.141  0.895
Te  0.145  0.613  0.594
Te  0.387  0.855  0.406
Te  0.395  0.395  0.109
Te  0.605  0.605  0.891
Te  0.613  0.145  0.594
Te  0.855  0.387  0.406
Te  0.859  0.859  0.105


# LiTl2As

A geometry-optimized LiTl2As structure (PBE-GGA, the Alexandria database).

Results
Space group: Immm, No. 71
E above lowest polymorph: 0.085 eV/atom
Mass density: 7.61 Mg/m³
Spin magnetization: 0.0 μB per formula unit
Formation enthalpy at 0 K: -0.147 eV per atom

Unit cell a=7.922 b=7.922 c=7.922 alpha=156.02 beta=147.96 gamma=40.42
Fractional positions:
Li  0.000  0.000  0.000
Tl  0.324  0.824  0.500
Tl  0.676  0.176  0.500
As  0.500  0.500  0.000


# CuTe2

A geometry-optimized CuTe2 structure (PBE-GGA, the Alexandria database).

Results
Space group: Fm-3m, No. 225
Mass density: 6.89 Mg/m³
Energy relative to the elements, uncorrected: 221 meV per atom
Spin magnetization: 0.0 μB per formula unit

Unit cell a=4.772 b=4.772 c=4.772 alpha=60.00 beta=60.00 gamma=60.00
Fractional positions:
Cu  0.000  0.000  0.000
Te  0.250  0.250  0.250
Te  0.750  0.750  0.750


# SbSe

A geometry-optimized SbSe structure (PBE-GGA, the Alexandria database).

Results
Space group: R-3m, No. 166
Mass density: 5.85 Mg/m³
Energy relative to the elements, uncorrected: 35 meV per atom
Spin magnetization: 0.0 μB per formula unit

Unit cell a=5.866 b=5.866 c=5.866 alpha=51.45 beta=51.45 gamma=51.45
Fractional positions:
Sb  0.223  0.223  0.223
Sb  0.777  0.777  0.777
Se  0.400  0.400  0.400
Se  0.600  0.600  0.600


# AsPdO3

A geometry-optimized AsPdO3 structure (PBE-GGA, the Alexandria database).

Results
Space group: Pm-3m, No. 221
Mass density: 6.33 Mg/m³
Energy relative to the elements, uncorrected: 171 meV per atom
Spin magnetization: 0.0 μB per formula unit

Unit cell a=3.918 b=3.918 c=3.918 alpha=90.00 beta=90.00 gamma=90.00
Fractional positions:
As  0.000  0.000  0.000
Pd  0.500  0.500  0.500
O  0.000  0.500  0.500
O  0.500  0.000  0.500
O  0.500  0.500  0.000


# LaHoNiHg

A geometry-optimized LaHoNiHg structure (PBE-GGA, the Alexandria database).

Results
Space group: F-43m, No. 216
Mass density: 9.51 Mg/m³
Spin magnetization: 0.0 μB per formula unit
Formation enthalpy at 0 K: -0.301 eV per atom

Unit cell a=5.182 b=5.182 c=5.182 alpha=60.00 beta=60.00 gamma=60.00
Fractional positions:
La  0.000  0.000  0.000
Ho  0.500  0.500  0.500
Ni  0.750  0.750  0.750
Hg  0.250  0.250  0.250


# BaCaP2Pd4

A geometry-optimized BaCaP2Pd4 structure (PBE-GGA, the Alexandria database).

Results
Space group: P4/mmm, No. 123
Mass density: 6.11 Mg/m³
Spin magnetization: 0.0 μB per formula unit
Formation enthalpy at 0 K: -0.706 eV per atom

Unit cell a=4.230 b=4.230 c=10.106 alpha=90.00 beta=90.00 gamma=90.00
Fractional positions:
Ba  0.000  0.000  0.000
Ca  0.000  0.000  0.500
P  0.500  0.500  0.190
P  0.500  0.500  0.810
Pd  0.000  0.500  0.285
Pd  0.000  0.500  0.715
Pd  0.500  0.000  0.285
Pd  0.500  0.000  0.715